# 1
Compound: Cd3FeAg
Source: Alexandria via LeMat-Bulk
Functional: PBE-GGA
Structure: optimized geometry

- D(E_F) (states/eV per atom) = 0.825
- calculated formation energy (eV per formula unit) = 3.2
- ΔE to the lowest computed polymorph (eV per atom) = 0.000
- calculated total energy (eV per cell) = -10.8
- calculated volume (Å³ per atom) = 25.37

Unit cell a=5.0249 b=5.0249 c=5.0249 alpha=90.00 beta=90.00 gamma=90.00
Space group Pm-3m (No. 221)
Symmetry-distinct sites (fractional):
Cd 0.0000 0.0000 0.5000
Fe 0.0000 0.0000 0.0000
Ag 0.5000 0.5000 0.5000


# 2
Compound: Au3C
Source: Alexandria via LeMat-Bulk
Functional: PBE-GGA
Structure: optimized geometry

- D(E_F) (states/eV per atom) = 0.372
- calculated formation energy (eV per formula unit) = 5.8
- ΔE to the lowest computed polymorph (eV per atom) = 0.886
- calculated total energy (eV per cell) = -26.5
- calculated volume (Å³ per atom) = 16.26

Unit cell a=4.1309 b=4.1309 c=7.6217 alpha=90.00 beta=90.00 gamma=90.00
Space group I4/mmm (No. 139)
Symmetry-distinct sites (fractional):
Au 0.0000 0.0000 0.0000
Au 0.0000 0.5000 0.2500
C 0.0000 0.0000 0.5000


# 3
Compound: PmSc2Ag6
Source: Alexandria via LeMat-Bulk
Functional: PBE-GGA
Structure: optimized geometry

- D(E_F) (states/eV per atom) = 0.572
- calculated formation energy (eV per formula unit) = -1.7
- calculated total energy (eV per cell) = -72.5
- calculated volume (Å³ per atom) = 20.62

Unit cell a=5.1994 b=15.6097 c=5.2513 alpha=90.00 beta=119.43 gamma=90.00
Space group C2/m (No. 12)
Symmetry-distinct sites (fractional):
Pm 0.0000 0.0000 0.0000
Sc 0.0000 0.3334 0.5000
Ag 0.1597 0.5000 0.3290
Ag 0.1730 0.1709 0.8295


# 4
Compound: Rb3Ce2NiS6
Source: Alexandria via LeMat-Bulk
Functional: PBE-GGA
Structure: optimized geometry

- E_form (uncorrected) (meV per atom) = -1311
- D(E_F) (states/eV per atom) = 0.703
- calculated total energy (eV per cell) = -122.1
- calculated volume (Å³ per atom) = 27.09

Unit cell a=7.1119 b=11.9631 c=8.0131 alpha=90.00 beta=107.52 gamma=90.00
Space group C2/m (No. 12)
Symmetry-distinct sites (fractional):
Rb 0.0000 0.0000 0.0000
Rb 0.0000 0.3315 0.0000
Ce 0.0000 0.1673 0.5000
Ni 0.0000 0.5000 0.5000
S 0.2167 0.3458 0.6809
S 0.2295 0.0000 0.6981


# 5
Compound: Ac2ReH
Source: Alexandria via LeMat-Bulk
Functional: PBE-GGA
Structure: optimized geometry

- D(E_F) (states/eV per atom) = 1.032
- calculated total energy (eV per cell) = -60.5
- calculated volume (Å³ per atom) = 23.77

Unit cell a=3.5213 b=3.5213 c=26.5640 alpha=90.00 beta=90.00 gamma=120.00
Space group R-3m (No. 166, hexagonal axes)
Symmetry-distinct sites (fractional):
Ac 0.0000 0.0000 0.1018
Re 0.0000 0.0000 0.0000
H 0.0000 0.0000 0.5000


# 6
Compound: ScFeI6
Source: Alexandria via LeMat-Bulk
Functional: PBE-GGA
Structure: optimized geometry

- E_form (uncorrected) (meV per atom) = -579
- D(E_F) (states/eV per atom) = 0.548
- calculated total energy (eV per cell) = -57.5
- calculated volume (Å³ per atom) = 40.46

Unit cell a=7.0158 b=14.0060 c=7.0157 alpha=90.00 beta=110.12 gamma=90.00
Space group C2/m (No. 12)
Symmetry-distinct sites (fractional):
Sc 0.0000 0.0000 0.0000
Fe 0.0000 0.5000 0.5000
I 0.2410 0.3575 0.7421
I 0.2490 0.5000 0.2528